1.
Density functional theory data (PBE-GGA) for an optimized crystal structure of IrPtAu2.

Summary:
Total DFT energy (no corrections) (eV per atom): -5.13
Spin magnetization (μB per atom): 0.000

abc: 2.7966 3.5330 6.8263
angles: 90.00 90.21 90.00
With the nearest neighbours (Å) after each atom.
Space group Pm (No. 6)
Symmetry-distinct sites (fractional):
Ir (0.0000, 0.0000, 0.0000) x1  4 Pt 2.68, 2 Ir 2.80, 4 Au 2.83-2.84
Pt (0.4973, 0.5000, 0.7875) x1  4 Ir 2.68, 2 Pt 2.80, 4 Au 2.88
Au (0.5012, 0.5000, 0.2519) x1  6 Au 2.80-2.93, 4 Ir 2.83-2.84
Au (0.9980, 0.0000, 0.5247) x1  6 Au 2.80-2.93, 4 Pt 2.88

---

2.
Density functional theory data (PBE-GGA) for an optimized crystal structure of Zn3CuAg4.

Summary:
Total DFT energy (no corrections) (eV per atom): -2.42
Spin magnetization (μB per atom): 0.000

abc: 15.8711 4.0949 4.0635
angles: 90.00 104.44 90.00
With the nearest neighbours (Å) after each atom.
Space group C2/m (No. 12)
Symmetry-distinct sites (fractional):
Zn (0.0000, 0.0000, 0.0000) x2  8 Ag 2.77-2.79, 4 Cu 2.88
Zn (0.2487, 0.5000, 0.7487) x4  8 Ag 2.79-2.84, 4 Zn 2.88-2.89
Cu (0.0000, 0.5000, 0.5000) x2  8 Ag 2.77-2.79, 4 Zn 2.88
Ag (0.1235, 0.5000, 0.1233) x4  2 Cu 2.77-2.79, 6 Zn 2.79-2.84, 4 Ag 2.88
Ag (0.1237, 0.0000, 0.6235) x4  6 Zn 2.77-2.83, 2 Cu 2.79, 4 Ag 2.88

---

3.
Density functional theory data (PBE-GGA) for an optimized crystal structure of La2YZrIr.

Summary:
Total DFT energy (no corrections) (eV per atom): -6.25
Spin magnetization (μB per atom): 0.000

abc: 5.6974 5.6974 4.9078
angles: 90.00 90.00 90.00
With the nearest neighbours (Å) after each atom.
Space group P4/mmm (No. 123)
Symmetry-distinct sites (fractional):
La (0.0000, 0.5000, 0.0000) x2  2 Zr 2.85
Y (0.0000, 0.0000, 0.5000) x1  8 La 3.76, 4 Ir 4.03
Zr (0.5000, 0.5000, 0.0000) x1  2 Ir 2.45
Ir (0.5000, 0.5000, 0.5000) x1  2 Zr 2.45